Below is a relaxed Ac8Ru3SeCl4 crystal, with properties calculated at the PBE-GGA level.

As for the spin magnetization: 0.000 μB/cell. The value obtained for the formation energy (no corrections) is -1.11 eV/atom. The raw total energy comes out at -178.5 eV for the cell shown. The value obtained for the density is 7.386 Mg/m³.

The space group is C2/m (No. 12) and the conventional cell measures 15.214, 8.785 and 9.369 Å, with angles of 90.00, 122.83 and 90.00 degrees. The distinct sites, in fractional coordinates, are Ac at (0.021, 0.234, 0.297), Ac at (0.237, 0.000, 0.710), Ac at (0.245, 0.500, 0.703), Ru at (0.000, 0.000, 0.500), Ru at (0.250, 0.250, 0.500), Se at (0.000, 0.500, 0.500), Cl at (0.000, 0.000, 0.000), Cl at (0.000, 0.500, 0.000) and Cl at (0.250, 0.250, 0.000).

---

Below is a relaxed BaMgBe2As crystal, with properties calculated at the PBE-GGA level.

As for the spin magnetization: 0.000 μB/cell. The raw total energy comes out at -12.6 eV for the cell shown. The value obtained for the density is 3.227 Mg/m³. The value obtained for the formation energy is 2.97 eV per formula unit.

The space group is P4/mmm (No. 123) and the conventional cell measures 4.630, 4.630 and 6.111 Å, with angles of 90.00, 90.00 and 90.00 degrees. The distinct sites, in fractional coordinates, are Ba at (0.000, 0.000, 0.000), Mg at (0.500, 0.500, 0.000), Be at (0.000, 0.500, 0.500) and As at (0.000, 0.000, 0.500).

---

Below is a relaxed AcAl2Sn crystal, with properties calculated at the PBE-GGA level.

As for the spin magnetization: 0.000 μB/cell. The raw total energy comes out at -16.6 eV for the cell shown. The value obtained for the density is 6.354 Mg/m³. The value obtained for the formation energy is -1.00 eV per formula unit.

The space group is P4/mmm (No. 123) and the conventional cell measures 4.738, 4.738 and 4.653 Å, with angles of 90.00, 90.00 and 90.00 degrees. The distinct sites, in fractional coordinates, are Ac at (0.000, 0.000, 0.000), Al at (0.000, 0.500, 0.500) and Sn at (0.500, 0.500, 0.000).

---

Below is a relaxed CdAg2Br crystal, with properties calculated at the PBE-GGA level.

As for the spin magnetization: 0.000 μB/cell. The value obtained for the formation energy (no corrections) is 0.10 eV/atom. The raw total energy comes out at -15.8 eV for the cell shown. The polymorph energy (0 for the lowest one) comes out at 168 meV/atom. The value obtained for the density is 7.540 Mg/m³.

The space group is C2/m (No. 12) and the conventional cell measures 6.346, 9.836 and 3.367 Å, with angles of 90.00, 121.21 and 90.00 degrees. The distinct sites, in fractional coordinates, are Cd at (0.000, 0.000, 0.000), Ag at (0.250, 0.250, 0.000) and Br at (0.000, 0.500, 0.000).

---

Below is a relaxed BaCaCo2 crystal, with properties calculated at the PBE-GGA level.

As for the spin magnetization: 8.151 μB/cell. The raw total energy comes out at -58.2 eV for the cell shown. The polymorph energy (0 for the lowest one) comes out at 760 meV/atom. The value obtained for the density is 5.056 Mg/m³. The value obtained for the formation energy is 3.58 eV per formula unit.

The space group is I-42d (No. 122) and the conventional cell measures 7.933, 7.933 and 6.165 Å, with angles of 90.00, 90.00 and 90.00 degrees. The distinct sites, in fractional coordinates, are Ba at (0.000, 0.000, 0.000), Ca at (0.000, 0.000, 0.500) and Co at (0.239, 0.250, 0.625).

---

Below is a relaxed Cs3Na2HgF9 crystal, with properties calculated at the PBE-GGA level.

As for the spin magnetization: 0.992 μB/cell. The value obtained for the formation energy (no corrections) is -2.18 eV/atom. The raw total energy comes out at -55.0 eV for the cell shown. The value obtained for the density is 4.689 Mg/m³.

The space group is P-3m1 (No. 164) and the conventional cell measures 6.4490, 6.4490 and 8.0253 Å, with angles of 90.00, 90.00 and 120.00 degrees. The distinct sites, in fractional coordinates, are Cs at (0.0000, 0.0000, 0.0000), Cs at (0.3333, 0.6667, 0.6897), Na at (0.3333, 0.6667, 0.1623), Hg at (0.0000, 0.0000, 0.5000), F at (0.0000, 0.5000, 0.0000) and F at (0.1600, 0.3199, 0.3443).